Here is an optimized crystal structure of TbPrTe3 from Alexandria via LeMat-Bulk. Energies are from PBE.

Calculated volume in A^3/atom: 32.3
Energy in eV/atom: -5.20
Formation energy (no corrections) in eV/f.u.: -7.17

Unit cell a=8.3284 b=4.4406 c=17.4828 alpha=90.00 beta=90.00 gamma=90.00
Space group Pnma (No. 62)
Inequivalent atoms, fractional coordinates:
Tb  0.2282  0.2500  0.0417 x4
Pr  0.1352  0.7500  0.2996 x4
Te  0.0045  0.7500  0.1066 x4
Te  0.1180  0.2500  0.4370 x4
Te  0.1558  0.7500  0.7145 x4